No. 1
Computed, not measured: a geometry-optimized Nd6In2Hg structure at the PBE level of DFT.

```
18
Lattice="-2.7482 -3.5192 -2.6558 -1.5367 -5.3905 8.7330 -8.6757 5.4062 1.8103" Properties=species:S:1:pos:R:3 pbc="T T T"
In -8.6513 -2.3317 6.9555
In -10.1880 -0.8132 1.4570
In -2.7726 -2.6902 6.4306
In -4.3093 -1.1718 0.9321
Hg -4.3378 2.7031 0.9052
Hg -2.1425 -4.4548 3.0386
Nd -4.3335 -2.6379 -2.1832
Nd -8.0138 -0.6890 4.1223
Nd -5.5331 -0.8686 6.8724
Nd -4.9468 -2.8144 3.7653
Nd -10.1755 2.5849 2.0218
Nd -7.4276 -2.6348 1.0151
Nd -5.9144 -4.4474 6.9291
Nd -8.5125 1.2979 7.0843
Nd -4.4482 -4.8013 0.8033
Nd -7.0462 0.9440 0.9585
Nd -2.7852 -6.0883 5.8658
Nd -8.6272 -0.8655 10.0708
```

Values from the calculation:
* formation enthalpy at 0 K: -0.30 eV/atom
* total moment: 0.00 μB/cell
* space group: P4_2/mnm, No. 136
* ρ: 7.69 Mg/m³

***

No. 2
Computed, not measured: a geometry-optimized Nd2InHg6 structure at the PBE level of DFT.

```
9
Lattice="-0.1151 -2.7675 5.5271 5.2542 -6.3769 -3.0836 0.7824 5.5216 2.5264" Properties=species:S:1:pos:R:3 pbc="T T T"
Nd 3.7636 -4.2305 2.5497
Nd 2.1578 0.6076 2.4203
Hg 4.6043 -3.9408 -0.8147
Hg 2.8555 -1.8183 0.2117
Hg 1.3172 0.3179 5.7846
Hg 4.3144 -6.6899 0.1978
Hg 0.8247 -2.4545 2.2458
Hg 3.0659 -1.8045 4.7583
In 0.0000 0.0000 0.0000
```

Values from the calculation:
* formation enthalpy at 0 K: -0.30 eV/atom
* ΔE to the lowest computed polymorph: 14 meV per atom
* total moment: 0.00 μB/cell
* space group: C2/m, No. 12
* ρ: 11.54 Mg/m³

***

No. 3
Computed, not measured: a geometry-optimized Nd7In2Hg2 structure at the PBE level of DFT.

```
11
Lattice="6.9139 -0.0029 -0.9639 0.0032 8.0454 0.0039 -1.3927 -0.0021 6.8404" Properties=species:S:1:pos:R:3 pbc="T T T"
In 4.5569 4.0186 4.8505
In 0.9675 4.0218 1.0299
Nd 2.0691 5.7291 6.3595
Nd 0.0000 0.0000 0.0000
Nd 6.2165 2.3088 2.4600
Nd 2.7595 2.0724 2.9410
Nd -0.6921 5.7316 3.4204
Nd 3.4552 2.3113 -0.4791
Nd 2.7648 5.9680 2.9394
Hg 0.9835 -0.0022 4.6078
Hg 4.5408 8.0425 1.2726
```

Values from the calculation:
* formation enthalpy at 0 K: -0.11 eV/atom
* total moment: 0.00 μB/cell
* space group: Cmmm, No. 65
* ρ: 7.37 Mg/m³

***

No. 4
Computed, not measured: a geometry-optimized Nd2InHg5 structure at the PBE level of DFT.

```
8
Lattice="-2.1210 0.0803 -6.3542 -4.6140 -4.6451 1.4306 0.3382 5.6157 3.5152" Properties=species:S:1:pos:R:3 pbc="T T T"
Nd -3.6527 -0.8413 1.1834
Nd -2.4067 1.5211 -2.7091
Hg -1.1695 4.2936 2.2309
Hg -4.7058 -0.8099 -1.9964
Hg -4.5514 2.0016 -0.2415
Hg -2.2363 4.3297 -0.9537
Hg -3.4842 1.9648 2.9429
In -1.3528 1.4887 0.4703
```

Values from the calculation:
* formation enthalpy at 0 K: -0.37 eV/atom
* total moment: 0.00 μB/cell
* space group: Fmm2, No. 42
* ρ: 11.24 Mg/m³